Entry 1:
{"formula": "Fe3Re", "functional": "GGA-PBEsol", "state": "relaxed", "lattice": [[2.5548, 0.0000, 0.0000], [0.0000, 3.9848, 0.0000], [0.0000, 0.0000, 4.3705]], "species": ["Fe", "Fe", "Fe", "Re"], "fractional_positions": [[0.5000, 0.0000, 0.5158], [0.5000, 0.5000, 0.8381], [0.0000, 0.0000, 0.9820], [0.0000, 0.5000, 0.3308]], "n_ef_per_ev_cell": 4.482, "m_tot_mub_per_fu": 0.03, "energy_ev_per_atom": -10.05, "ef_ev_per_atom": 0.010, "space_group": "No. 25"}

=====

Entry 2:
{"formula": "LiAuSe2", "functional": "GGA-PBEsol", "state": "relaxed", "lattice": [[2.7765, 0.0000, 0.0000], [0.0000, 3.7210, 0.0000], [0.0000, 0.0000, 6.9697]], "species": ["Se", "Se", "Li", "Au"], "fractional_positions": [[0.0000, 0.0000, 0.2707], [0.0000, 0.0000, 0.7293], [0.5000, 0.5000, 0.5000], [0.5000, 0.5000, 0.0000]], "e_form_raw_ev_per_atom": -0.1527, "n_ef_per_ev_cell": 1.721, "m_tot_mub_per_fu": 0.00, "energy_ev_per_atom": -3.55, "space_group": "No. 47"}

=====

Entry 3:
{"formula": "BeAsPt2", "functional": "GGA-PBEsol", "state": "relaxed", "lattice": [[3.6447, 0.0000, 0.0000], [0.0000, 3.6447, 0.0000], [-1.8224, -1.8224, 4.1955]], "species": ["Be", "As", "Pt", "Pt"], "fractional_positions": [[0.2500, 0.7500, 0.5000], [0.5000, 0.5000, 0.0000], [0.7500, 0.2500, 0.5000], [0.0000, 0.0000, 0.0000]], "n_ef_per_ev_cell": 1.116, "m_tot_mub_per_fu": 0.00, "energy_ev_per_atom": -5.92, "ef_ev_per_atom": -0.165, "space_group": "No. 119"}

=====

Entry 4:
{"formula": "ReSbAu2", "functional": "GGA-PBEsol", "state": "relaxed", "lattice": [[-1.6711, -0.3976, -2.3242], [3.1353, -3.4980, -1.6559], [-2.5853, -3.4789, 2.4540]], "species": ["Au", "Au", "Sb", "Re"], "fractional_positions": [[0.0000, 0.0000, 0.5000], [0.0000, 0.5000, 0.0000], [0.5000, 0.0000, 0.0000], [0.5000, 0.5000, 0.5000]], "e_form_raw_ev_per_atom": 0.6539, "n_ef_per_ev_cell": 1.792, "m_tot_mub_per_fu": 0.00, "energy_ev_per_atom": -5.78, "space_group": "No. 123"}

=====

Entry 5:
{"formula": "Y2InAs", "functional": "GGA-PBEsol", "state": "relaxed", "lattice": [[4.2300, 0.0000, 0.0000], [2.1150, 5.0339, 0.0262], [2.1150, 2.0406, 4.6018]], "species": ["Y", "Y", "In", "As"], "fractional_positions": [[0.2713, 0.7287, 0.7287], [0.7287, 0.2713, 0.2713], [0.5000, 0.0000, 0.0000], [0.0000, 0.5000, 0.5000]], "n_ef_per_ev_cell": 2.492, "m_tot_mub_per_fu": 0.00, "de_polymorph_mev_per_atom": 247, "energy_ev_per_atom": -6.16, "ef_ev_per_atom": -0.728, "space_group": "No. 71"}

=====

Entry 6:
{"formula": "TlAuCS2", "functional": "GGA-PBEsol", "state": "relaxed", "lattice": [[-1.2831, -3.7217, 0.2839], [3.1591, -0.9229, 2.1786], [-2.9339, 1.3807, 4.8392]], "species": ["S", "S", "C", "Tl", "Au"], "fractional_positions": [[0.0000, 0.5000, 0.0000], [0.5000, 0.0000, 0.0000], [0.0000, 0.0000, 0.0000], [0.0000, 0.0000, 0.5000], [0.5000, 0.5000, 0.5000]], "e_form_raw_ev_per_atom": 1.0397, "n_ef_per_ev_cell": 3.138, "m_tot_mub_per_fu": 0.00, "energy_ev_per_atom": -3.95, "space_group": "No. 123"}

=====

Entry 7:
{"formula": "LiVNiO4", "functional": "GGA-PBEsol", "state": "relaxed", "lattice": [[-4.6051, -0.4549, 1.2355], [-0.2463, -5.1557, -2.8165], [2.7315, -4.7391, 8.4364]], "species": ["Li", "Li", "Li", "Li", "O", "O", "O", "O", "O", "O", "O", "O", "O", "O", "O", "O", "O", "O", "O", "O", "Ni", "Ni", "Ni", "Ni", "V", "V", "V", "V"], "fractional_positions": [[0.0000, 0.0000, 0.5000], [0.0000, 0.5000, 0.5000], [0.5000, 0.5000, 0.0000], [0.5000, 0.0000, 0.0000], [0.7260, 0.9856, 0.3301], [0.2740, 0.0144, 0.6699], [0.2740, 0.4856, 0.6699], [0.2260, 0.0144, 0.1699], [0.2123, 0.7500, 0.4039], [0.7027, 0.7500, 0.5624], [0.2260, 0.4856, 0.1699], [0.7877, 0.2500, 0.5961], [0.7740, 0.9856, 0.8301], [0.7973, 0.7500, 0.0624], [0.2973, 0.2500, 0.4376], [0.7740, 0.5144, 0.8301], [0.2877, 0.7500, 0.9039], [0.2027, 0.2500, 0.9376], [0.7260, 0.5144, 0.3301], [0.7123, 0.2500, 0.0961], [0.5000, 0.2500, 0.2653], [0.0000, 0.2500, 0.7653], [0.5000, 0.7500, 0.7347], [0.0000, 0.7500, 0.2347], [0.0702, 0.2500, 0.0957], [0.5702, 0.7500, 0.4043], [0.9298, 0.7500, 0.9043], [0.4298, 0.2500, 0.5957]], "e_form_raw_ev_per_atom": -1.8474, "m_tot_mub_per_fu": 2.00, "de_polymorph_mev_per_atom": 43, "energy_ev_per_atom": -7.38, "space_group": "No. 62"}

=====

Entry 8:
{"formula": "Be24Rh5", "functional": "GGA-PBEsol", "state": "relaxed", "lattice": [[6.9160, 0.0000, 0.0000], [-2.3053, 6.5205, 0.0000], [-2.3053, -3.2602, 5.6469]], "species": ["Be", "Be", "Be", "Be", "Be", "Be", "Be", "Be", "Be", "Be", "Be", "Be", "Be", "Be", "Be", "Be", "Be", "Be", "Be", "Be", "Be", "Be", "Be", "Be", "Rh", "Rh", "Rh", "Rh", "Rh"], "fractional_positions": [[0.6124, 0.0000, 0.3240], [0.8131, 0.6332, 0.0000], [0.6760, 0.6760, 0.2885], [0.3876, 0.7115, 0.3876], [0.3240, 0.6124, 0.0000], [0.8131, 0.0000, 0.6332], [0.3668, 0.1800, 0.3668], [0.6760, 0.2885, 0.6760], [0.1800, 0.3668, 0.3668], [0.3876, 0.3876, 0.7115], [0.8200, 0.1869, 0.1869], [0.0000, 0.3240, 0.6124], [0.3240, 0.0000, 0.6124], [0.2885, 0.6760, 0.6760], [0.3668, 0.3668, 0.1800], [0.1869, 0.8200, 0.1869], [0.1869, 0.1869, 0.8200], [0.0000, 0.8131, 0.6332], [0.6332, 0.0000, 0.8131], [0.6332, 0.8131, 0.0000], [0.7115, 0.3876, 0.3876], [0.0000, 0.6124, 0.3240], [0.0000, 0.6332, 0.8131], [0.6124, 0.3240, 0.0000], [0.3936, 0.0000, 0.0000], [0.6064, 0.6064, 0.6064], [0.0000, 0.0000, 0.0000], [0.0000, 0.0000, 0.3936], [0.0000, 0.3936, 0.0000]], "n_ef_per_ev_cell": 7.281, "m_tot_mub_per_fu": 0.00, "energy_ev_per_atom": -5.05, "ef_ev_per_atom": -0.338, "space_group": "No. 217"}

=====

Entry 9:
{"formula": "BeIn2Cu", "functional": "GGA-PBEsol", "state": "relaxed", "lattice": [[-2.9108, -1.5850, 1.0238], [1.5430, -0.5958, 3.4644], [-1.8883, 4.5123, 1.6171]], "species": ["In", "In", "Cu", "Be"], "fractional_positions": [[0.0000, 0.0000, 0.9665], [0.5000, 0.5000, 0.2798], [0.5000, 0.5000, 0.7639], [0.0000, 0.0000, 0.4898]], "n_ef_per_ev_cell": 1.061, "m_tot_mub_per_fu": 0.00, "energy_ev_per_atom": -3.25, "ef_ev_per_atom": 0.322, "space_group": "No. 25"}

=====

Entry 10:
{"formula": "ZrNbTc2", "functional": "GGA-PBEsol", "state": "relaxed", "lattice": [[-1.3126, 2.5311, -3.5070], [-4.2380, 1.5579, -0.2019], [-0.8172, 4.4080, 0.5747]], "species": ["Tc", "Tc", "Zr", "Nb"], "fractional_positions": [[0.7500, 0.7500, 0.7500], [0.2500, 0.2500, 0.2500], [0.0000, 0.0000, 0.0000], [0.5000, 0.5000, 0.5000]], "n_ef_per_ev_cell": 3.245, "m_tot_mub_per_fu": 0.00, "energy_ev_per_atom": -10.96, "ef_ev_per_atom": -0.345, "space_group": "No. 225"}

=====

Entry 11:
{"formula": "KSr2Ca", "functional": "GGA-PBEsol", "state": "relaxed", "lattice": [[4.0301, 0.0116, 0.0000], [-1.4259, 3.7694, 0.0000], [0.0000, 0.0000, 13.5939]], "species": ["K", "Sr", "Sr", "Ca"], "fractional_positions": [[0.5000, 0.5000, 0.0000], [0.0000, 0.0000, 0.2702], [0.0000, 0.0000, 0.7298], [0.5000, 0.5000, 0.5000]], "n_ef_per_ev_cell": 4.674, "m_tot_mub_per_fu": 0.00, "de_polymorph_mev_per_atom": 6, "energy_ev_per_atom": -1.66, "ef_ev_per_atom": 0.073, "space_group": "No. 65"}

=====

Entry 12:
{"formula": "BaRuCl3", "functional": "GGA-PBEsol", "state": "relaxed", "lattice": [[-3.9456, 4.2663, -0.5953], [-4.0522, -3.4022, 2.4757], [1.4614, 2.0851, 5.2574]], "species": ["Cl", "Cl", "Cl", "Ba", "Ru"], "fractional_positions": [[0.0000, 0.0000, 0.5000], [0.0000, 0.5000, 0.0000], [0.5000, 0.0000, 0.0000], [0.0000, 0.0000, 0.0000], [0.5000, 0.5000, 0.5000]], "e_form_raw_ev_per_atom": -0.1129, "n_ef_per_ev_cell": 11.188, "m_tot_mub_per_fu": 3.02, "de_polymorph_mev_per_atom": 981, "energy_ev_per_atom": -3.78, "space_group": "No. 221"}